# 1
# ScAs2Ru (meta-GGA SCAN, PBEsol geometry)
# M_tot = 0.000 Bohr magnetons per cell
# Raw total energy = -361.53 eV/cell
data_ScAs2Ru
_space_group_name_H-M_alt 'F -4 3 m'
_space_group_IT_number 216
_space_group_name_Hall 'F -4 2 3'
_cell_length_a 6.384
_cell_length_b 6.384
_cell_length_c 6.384
_cell_angle_alpha 90.00
_cell_angle_beta 90.00
_cell_angle_gamma 90.00
loop_
_atom_site_label
_atom_site_type_symbol
_atom_site_fract_x
_atom_site_fract_y
_atom_site_fract_z
_atom_site_occupancy
Sc1 Sc 0.000 0.000 0.000 1
As1 As 0.000 0.000 0.500 1
As2 As 0.250 0.250 0.250 1
Ru1 Ru 0.250 0.250 0.750 1

***

# 2
# ScAs2Ru (meta-GGA SCAN, PBEsol geometry)
# M_tot = 0.000 Bohr magnetons per cell
# Raw total energy = -184.62 eV/cell
data_ScAs2Ru
_space_group_name_H-M_alt 'C 1 2/m 1'
_space_group_IT_number 12
_cell_length_a 6.634
_cell_length_b 3.855
_cell_length_c 5.806
_cell_angle_alpha 90.00
_cell_angle_beta 112.78
_cell_angle_gamma 90.00
loop_
_space_group_symop_operation_xyz
'x,y,z'
'-x,-y,-z'
'-x,y,-z'
'x,-y,z'
'x+1/2,y+1/2,z'
'-x+1/2,-y+1/2,-z'
'-x+1/2,y+1/2,-z'
'x+1/2,-y+1/2,z'
loop_
_atom_site_label
_atom_site_type_symbol
_atom_site_fract_x
_atom_site_fract_y
_atom_site_fract_z
_atom_site_occupancy
Sc1 Sc 0.000 0.000 0.000 1
As1 As 0.238 0.000 0.714 1
Ru1 Ru 0.000 0.500 0.500 1

***

# 3
# ScAsRu2Se (meta-GGA SCAN, PBEsol geometry)
# M_tot = 0.000 Bohr magnetons per cell
# Raw total energy = -121.35 eV/cell
# Formation energy from raw total energies = 0.56 eV per atom
data_ScAsRu2Se
_space_group_name_H-M_alt 'P 4/m m m'
_space_group_IT_number 123
_space_group_name_Hall '-P 4 2'
_cell_length_a 4.426
_cell_length_b 4.426
_cell_length_c 5.048
_cell_angle_alpha 90.00
_cell_angle_beta 90.00
_cell_angle_gamma 90.00
loop_
_atom_site_label
_atom_site_type_symbol
_atom_site_fract_x
_atom_site_fract_y
_atom_site_fract_z
_atom_site_occupancy
Sc1 Sc 0.000 0.000 0.000 1
As1 As 0.500 0.500 0.000 1
Ru1 Ru 0.000 0.500 0.500 1
Se1 Se 0.500 0.500 0.500 1

***

# 4
# SnAsRuSe2 (meta-GGA SCAN, PBEsol geometry)
# M_tot = 4.217 Bohr magnetons per cell
# Raw total energy = -124.60 eV/cell
# Formation energy from raw total energies = 1.30 eV per atom
data_SnAsRuSe2
_space_group_name_H-M_alt 'P 4/m m m'
_space_group_IT_number 123
_space_group_name_Hall '-P 4 2'
_cell_length_a 5.110
_cell_length_b 5.110
_cell_length_c 5.110
_cell_angle_alpha 90.00
_cell_angle_beta 90.00
_cell_angle_gamma 90.00
loop_
_atom_site_label
_atom_site_type_symbol
_atom_site_fract_x
_atom_site_fract_y
_atom_site_fract_z
_atom_site_occupancy
Sn1 Sn 0.000 0.000 0.000 1
As1 As 0.000 0.000 0.500 1
Ru1 Ru 0.500 0.500 0.500 1
Se1 Se 0.000 0.500 0.000 1

***

# 5
# SrAs2RuSe (meta-GGA SCAN, PBEsol geometry)
# M_tot = 0.000 Bohr magnetons per cell
# Raw total energy = -119.85 eV/cell
# Formation energy from raw total energies = -0.46 eV per atom
data_SrAs2RuSe
_space_group_name_H-M_alt 'P 4/m m m'
_space_group_IT_number 123
_space_group_name_Hall '-P 4 2'
_cell_length_a 4.626
_cell_length_b 4.626
_cell_length_c 5.584
_cell_angle_alpha 90.00
_cell_angle_beta 90.00
_cell_angle_gamma 90.00
loop_
_atom_site_label
_atom_site_type_symbol
_atom_site_fract_x
_atom_site_fract_y
_atom_site_fract_z
_atom_site_occupancy
Sr1 Sr 0.000 0.000 0.000 1
As1 As 0.000 0.500 0.500 1
Ru1 Ru 0.500 0.500 0.500 1
Se1 Se 0.500 0.500 0.000 1

***

# 6
# SrAs2RuSe (meta-GGA SCAN, PBEsol geometry)
# M_tot = 2.263 Bohr magnetons per cell
# Raw total energy = -109.90 eV/cell
# Formation energy from raw total energies = 1.53 eV per atom
data_SrAs2RuSe
_space_group_name_H-M_alt 'P 4/m m m'
_space_group_IT_number 123
_space_group_name_Hall '-P 4 2'
_cell_length_a 5.387
_cell_length_b 5.387
_cell_length_c 5.412
_cell_angle_alpha 90.00
_cell_angle_beta 90.00
_cell_angle_gamma 90.00
loop_
_atom_site_label
_atom_site_type_symbol
_atom_site_fract_x
_atom_site_fract_y
_atom_site_fract_z
_atom_site_occupancy
Sr1 Sr 0.000 0.000 0.000 1
As1 As 0.000 0.500 0.000 1
Ru1 Ru 0.500 0.500 0.500 1
Se1 Se 0.000 0.000 0.500 1